No. 1
## CuNiPd (GGA-PBE)

Data for crystalline CuNiPd at its relaxed geometry.

```
data_CuNiPd
_cell_length_a 2.679
_cell_length_b 2.679
_cell_length_c 10.719
_cell_angle_alpha 90.00
_cell_angle_beta 90.00
_cell_angle_gamma 90.00
_symmetry_space_group_name_H-M 'I 4 m m'
_symmetry_Int_Tables_number 107
_symmetry_space_group_name_Hall 'I 4 -2'
loop_
_atom_site_label
_atom_site_fract_x
_atom_site_fract_y
_atom_site_fract_z
Cu1 0.000 0.000 0.000
Ni1 0.000 0.000 0.653
Pd1 0.000 0.000 0.324
```

Summary:
E_form = 0.0 eV/f.u.
Energy relative to the lowest polymorph listed for this composition = 0 meV/atom
DFT total energy = -5.009 eV per atom


No. 2
## Pm2SmPd (GGA-PBE)

Data for crystalline Pm2SmPd at its relaxed geometry.

```
data_Pm2SmPd
_cell_length_a 3.887
_cell_length_b 12.279
_cell_length_c 9.802
_cell_angle_alpha 90.00
_cell_angle_beta 90.00
_cell_angle_gamma 90.00
_symmetry_space_group_name_H-M 'C m c m'
_symmetry_Int_Tables_number 63
_symmetry_space_group_name_Hall '-C 2c 2'
loop_
_atom_site_label
_atom_site_fract_x
_atom_site_fract_y
_atom_site_fract_z
Pm1 0.000 0.135 0.060
Sm1 0.000 0.428 0.250
Pd1 0.000 0.268 0.750
```

Summary:
E_form = -1.6 eV/f.u.
Energy relative to the lowest polymorph listed for this composition = 17 meV/atom
DFT total energy = -5.256 eV per atom


No. 3
## BaTiAsO2 (GGA-PBE)

Data for crystalline BaTiAsO2 at its relaxed geometry.

```
data_BaTiAsO2
_cell_length_a 3.911
_cell_length_b 12.961
_cell_length_c 7.404
_cell_angle_alpha 90.00
_cell_angle_beta 90.00
_cell_angle_gamma 90.00
_symmetry_space_group_name_H-M 'C m c m'
_symmetry_Int_Tables_number 63
_symmetry_space_group_name_Hall '-C 2c 2'
loop_
_atom_site_label
_atom_site_fract_x
_atom_site_fract_y
_atom_site_fract_z
Ba1 0.000 0.228 0.250
Ti1 0.000 0.500 0.000
As1 0.000 0.029 0.750
O1 0.000 0.358 0.539
```

Summary:
Uncorrected formation energy = -1980 meV per atom
DFT total energy = -6.857 eV per atom


| no. | total moment (μB/cell) |
| --- | --- |
| 1 | 1.05 |
| 2 | 0.00 |
| 3 | 3.76 |